[1]
HfCu2Mo: optimized geometry, PBE-GGA.

Cell: 3.7359 3.7359 19.2430 Å, 90.00 90.00 90.00°
Last column: nearest neighbours and their distance in Å.
Fractional positions:
Hf (0.0000, 0.0000, 0.0000)  4 Mo 2.64, 4 Cu 2.77
Hf (0.0000, 0.5000, 0.2500)  4 Mo 2.64, 4 Cu 2.77
Hf (0.5000, 0.0000, 0.7500)  4 Mo 2.64, 4 Cu 2.77
Hf (0.5000, 0.5000, 0.5000)  4 Mo 2.64, 4 Cu 2.77
Cu (0.2335, 0.2500, 0.6250)  4 Cu 2.56-2.73, 2 Mo 2.72, 2 Hf 2.77
Cu (0.2500, 0.7335, 0.8750)  4 Cu 2.56-2.73, 2 Mo 2.72, 2 Hf 2.77
Cu (0.2500, 0.7665, 0.3750)  4 Cu 2.56-2.73, 2 Mo 2.72, 2 Hf 2.77
Cu (0.2665, 0.2500, 0.1250)  4 Cu 2.56-2.73, 2 Mo 2.72, 2 Hf 2.77
Cu (0.7335, 0.7500, 0.1250)  4 Cu 2.56-2.73, 2 Mo 2.72, 2 Hf 2.77
Cu (0.7500, 0.2335, 0.3750)  4 Cu 2.56-2.73, 2 Mo 2.72, 2 Hf 2.77
Cu (0.7500, 0.2665, 0.8750)  4 Cu 2.56-2.73, 2 Mo 2.72, 2 Hf 2.77
Cu (0.7665, 0.7500, 0.6250)  4 Cu 2.56-2.73, 2 Mo 2.72, 2 Hf 2.77
Mo (0.0000, 0.0000, 0.5000)  4 Hf 2.64, 4 Cu 2.72
Mo (0.0000, 0.5000, 0.7500)  4 Hf 2.64, 4 Cu 2.72
Mo (0.5000, 0.0000, 0.2500)  4 Hf 2.64, 4 Cu 2.72
Mo (0.5000, 0.5000, 0.0000)  4 Hf 2.64, 4 Cu 2.72

Output
Symmetry: No. 122
Magnetic moment, μB/f.u.: 0.0
Formation energy from the elements, eV per atom: 0.5985
Final energy, eV per atom: -6.646
Polymorph energy (0 for the lowest one), meV per atom: 443

[2]
HfCu2Mo: optimized geometry, PBE-GGA.

Cell: 6.2643 6.2643 6.2643 Å, 90.00 90.00 90.00°
Last column: nearest neighbours and their distance in Å.
Fractional positions:
Hf (0.0000, 0.0000, 0.0000)  8 Cu 2.71
Hf (0.0000, 0.5000, 0.5000)  8 Cu 2.71
Hf (0.5000, 0.0000, 0.5000)  8 Cu 2.71
Hf (0.5000, 0.5000, 0.0000)  8 Cu 2.71
Cu (0.2500, 0.2500, 0.2500)  4 Hf 2.71, 4 Mo 2.71
Cu (0.2500, 0.2500, 0.7500)  4 Hf 2.71, 4 Mo 2.71
Cu (0.2500, 0.7500, 0.2500)  4 Hf 2.71, 4 Mo 2.71
Cu (0.2500, 0.7500, 0.7500)  4 Hf 2.71, 4 Mo 2.71
Cu (0.7500, 0.2500, 0.2500)  4 Hf 2.71, 4 Mo 2.71
Cu (0.7500, 0.2500, 0.7500)  4 Hf 2.71, 4 Mo 2.71
Cu (0.7500, 0.7500, 0.2500)  4 Hf 2.71, 4 Mo 2.71
Cu (0.7500, 0.7500, 0.7500)  4 Mo 2.71, 4 Hf 2.71
Mo (0.0000, 0.0000, 0.5000)  8 Cu 2.71
Mo (0.0000, 0.5000, 0.0000)  8 Cu 2.71
Mo (0.5000, 0.0000, 0.0000)  8 Cu 2.71
Mo (0.5000, 0.5000, 0.5000)  8 Cu 2.71

Output
Symmetry: No. 225
Magnetic moment, μB/f.u.: 0.0
Formation energy from the elements, eV per atom: 0.1556
Final energy, eV per atom: -7.089
Polymorph energy (0 for the lowest one), meV per atom: 0